Record 1
VASP calculation (PBE-GGA) on a relaxed structure of Ac6TlTe8.

```
Ac6TlTe8
1.0
12.928 0.000 0.000
-6.464 11.196 0.000
0.000 0.000 4.811
Ac Tl Te
6 1 8
Cartesian
-2.448 7.404 1.193 Ac
1.276 5.374 1.193 Ac
5.292 1.581 3.618 Ac
1.172 9.614 1.193 Ac
5.188 5.822 3.618 Ac
8.912 3.792 3.618 Ac
0.000 0.000 2.405 Tl
-1.766 4.079 1.218 Te
-2.048 10.685 1.218 Te
0.000 7.464 3.601 Te
2.650 3.569 3.593 Te
3.814 7.627 1.218 Te
6.464 3.732 1.210 Te
8.512 0.510 3.593 Te
8.230 7.116 3.593 Te
```

Summary:
ΔE to the lowest computed polymorph, eV per atom: 0.101
N(E_F), states/eV/f.u.: 8.9
Uncorrected energy, eV per atom: -4.780
Formation energy without anion corrections, eV/atom: -1.303

***

Record 2
VASP calculation (PBE-GGA) on a relaxed structure of MgCoB3.

```
MgCoB3
1.0
4.175 0.000 0.000
0.000 4.175 0.000
0.000 0.000 4.175
Mg Co B
1 1 3
Cartesian
0.000 0.000 0.000 Mg
2.088 2.088 2.088 Co
0.000 0.000 2.088 B
0.000 2.088 0.000 B
2.088 0.000 0.000 B
```

Summary:
ΔE to the lowest computed polymorph, eV per atom: 1.888
N(E_F), states/eV/f.u.: 2.9
ΔH_f (0 K), eV per atom: 2.587
Uncorrected energy, eV per atom: -3.159